(1)
Computed, not measured: an optimized crystal structure of Rb3Sn4Sb4 at the PBE-GGA level of DFT.

Unit cell a=5.694 b=8.286 c=9.805 alpha=115.00 beta=106.88 gamma=90.00
Atoms (fractional coordinates):
Sb  0.500  0.182  0.000
Rb  0.120  0.120  0.240
Sb  0.220  0.720  0.440
Sn  0.330  0.140  0.660
Sb  0.500  0.818  0.000
Sb  0.780  0.280  0.560
Sn  0.670  0.480  0.340
Rb  0.880  0.880  0.760
Rb  0.000  0.500  0.000
Sn  0.670  0.860  0.340
Sn  0.330  0.520  0.660

symmetry: No. 71
volume: 397.2 Å³/cell
formation energy (no corrections): -0.16 eV per atom

---

(2)
Computed, not measured: an optimized crystal structure of Rb3Sn2Sb2 at the PBE-GGA level of DFT.

Unit cell a=7.084 b=10.422 c=15.867 alpha=90.00 beta=90.00 gamma=90.00
Atoms (fractional coordinates):
Sn  0.368  0.534  0.921
Sn  0.632  0.034  0.921
Rb  0.332  0.279  0.250
Sb  0.797  0.432  0.250
Sb  0.797  0.068  0.750
Sb  0.398  0.250  0.000
Rb  0.332  0.221  0.750
Sb  0.602  0.750  0.500
Rb  0.888  0.138  0.390
Rb  0.888  0.362  0.610
Rb  0.888  0.362  0.890
Rb  0.112  0.638  0.390
Sb  0.602  0.750  0.000
Sb  0.398  0.250  0.500
Rb  0.112  0.862  0.610
Sb  0.203  0.932  0.250
Sn  0.632  0.034  0.579
Sn  0.368  0.966  0.421
Sb  0.203  0.568  0.750
Rb  0.112  0.862  0.890
Sn  0.632  0.466  0.421
Sn  0.368  0.534  0.579
Rb  0.668  0.721  0.750
Sn  0.368  0.966  0.079
Rb  0.668  0.779  0.250
Sn  0.632  0.466  0.079
Rb  0.112  0.638  0.110
Rb  0.888  0.138  0.110

symmetry: No. 57
volume: 1171.4 Å³/cell
formation energy (no corrections): -0.25 eV per atom

---

(3)
Computed, not measured: an optimized crystal structure of RbSn6Sb2 at the PBE-GGA level of DFT.

Unit cell a=13.605 b=8.801 c=13.605 alpha=47.99 beta=83.83 gamma=47.99
Atoms (fractional coordinates):
Rb  0.881  0.750  0.119
Sn  0.455  0.018  0.843
Sn  0.816  0.887  0.445
Sb  0.623  0.340  0.671
Sb  0.671  0.840  0.623
Sn  0.445  0.387  0.816
Sn  0.843  0.518  0.455
Sb  0.377  0.660  0.329
Sn  0.225  0.335  0.105
Sn  0.775  0.665  0.895
Sn  0.105  0.835  0.225
Sn  0.545  0.982  0.157
Sn  0.184  0.113  0.555
Rb  0.119  0.250  0.881
Sn  0.157  0.482  0.545
Sb  0.329  0.160  0.377
Sn  0.555  0.613  0.184
Sn  0.895  0.165  0.775

symmetry: No. 15
volume: 708.1 Å³/cell
formation energy (no corrections): 0.04 eV per atom